## Co6O7F5 (PBE+U)

Data for Co6O7F5 after structural relaxation.

Cell and atoms, written as extended XYZ:
```
18
Lattice="-2.295 -3.982 0.769 1.235 -2.457 -4.767 5.961 -3.811 2.569" Properties=species:S:1:pos:R:3 pbc="T T T"
Co 2.096 -7.266 0.906
Co 0.496 -6.846 -1.547
Co -0.517 -3.668 -2.092
Co 3.861 -6.543 -1.865
Co 4.899 -10.214 -1.418
Co 1.049 -3.584 0.467
F 1.275 -5.794 0.043
F 5.216 -4.713 1.032
F 2.737 -6.183 2.329
F 3.717 -4.345 -1.307
F 2.119 -4.074 -3.863
O 5.630 -6.632 -1.255
O 2.085 -6.523 -2.487
O -0.377 -5.457 -2.503
O 1.239 -3.289 -1.389
O 3.662 -7.025 -0.054
O -0.728 -3.702 -0.183
O 2.821 -3.589 1.099
```

Total moment ... 0.7228 μB/atom
DFT total energy ... -96.3 eV for the cell shown
Energy relative to the lowest polymorph listed for this composition ... 19.6 meV per atom